The following is a DFT calculation (PBE) of LuCdRh after structural relaxation.

Unit cell a=7.6301 b=7.6301 c=7.6301 alpha=155.28 beta=155.28 gamma=35.25
Element x y z (fractional)
Lu: 0.0000 0.0000 0.0000
Cd: 0.2190 0.2190 0.0000
Rh: 0.4053 0.4053 0.0000

energy of formation = -0.1234 eV/atom
total DFT energy (no corrections) = -4.386 eV/atom

=====

The following is a DFT calculation (PBE) of AcPmSiH after structural relaxation.

Unit cell a=5.1024 b=5.1024 c=5.1024 alpha=60.00 beta=60.00 gamma=60.00
Element x y z (fractional)
Ac: 0.0000 0.0000 0.0000
Pm: 0.5000 0.5000 0.5000
Si: 0.2500 0.2500 0.2500
H: 0.7500 0.7500 0.7500

total DFT energy (no corrections) = -4.725 eV/atom

=====

The following is a DFT calculation (PBE) of Ho2LuSb after structural relaxation.

Unit cell a=9.8198 b=9.8198 c=9.8198 alpha=23.07 beta=23.07 gamma=23.07
Element x y z (fractional)
Ho: 0.2350 0.2350 0.2350
Ho: 0.7650 0.7650 0.7650
Lu: 0.0000 0.0000 0.0000
Sb: 0.5000 0.5000 0.5000

E_form (uncorrected) = -0.26 eV/atom
energy above the lowest structure with this stoichiometry = 228 meV/atom
total DFT energy (no corrections) = -4.707 eV/atom